No. 1
DFT (GGA-PBEsol) results for a geometry-optimized KAlCl4 structure.

a b c (Å): 7.1669 9.6264 9.9328
angles (deg): 90.00 90.00 90.02
Closest atoms and distances in Å follow each position.
Fractional positions:
1 K 0.4332 0.9926 0.1296  8 Cl 3.21-3.28
2 K 0.5668 0.0074 0.6296  8 Cl 3.21-3.28
3 K 0.0668 0.5074 0.6496  8 Cl 3.21-3.28
4 K 0.9332 0.4926 0.1496  8 Cl 3.21-3.28
5 Al 0.9986 0.9337 0.3794  4 Cl 2.15-2.16
6 Al 0.0014 0.0663 0.8794  4 Cl 2.15-2.16
7 Al 0.4985 0.4338 0.8998  4 Cl 2.15-2.16
8 Al 0.5015 0.5662 0.3998  4 Cl 2.15-2.16
9 Cl 0.9256 0.8109 0.5523  1 Al 2.15
10 Cl 0.0744 0.1891 0.0523  1 Al 2.15
11 Cl 0.7611 0.0650 0.3410  1 Al 2.15
12 Cl 0.2389 0.9350 0.8410  1 Al 2.15
13 Cl 0.2400 0.0619 0.4158  1 Al 2.16
14 Cl 0.7600 0.9381 0.9158  1 Al 2.16
15 Cl 0.9306 0.1925 0.7084  1 Al 2.15
16 Cl 0.0694 0.8075 0.2084  1 Al 2.15
17 Cl 0.4307 0.6924 0.5709  1 Al 2.15
18 Cl 0.5693 0.3076 0.0709  1 Al 2.15
19 Cl 0.5744 0.6890 0.2269  1 Al 2.15
20 Cl 0.4256 0.3110 0.7269  1 Al 2.15
21 Cl 0.7389 0.4350 0.4381  1 Al 2.15
22 Cl 0.2611 0.5650 0.9381  1 Al 2.15
23 Cl 0.2600 0.4381 0.3635  1 Al 2.16
24 Cl 0.7400 0.5619 0.8635  1 Al 2.16

Calculated values
E (eV/atom): -3.941
Symmetry: No. 14
Formation energy (no corrections) (eV per atom): -1.73
Crystal system: monoclinic

---

No. 2
DFT (GGA-PBEsol) results for a geometry-optimized KAlCl2 structure.

a b c (Å): 3.3101 3.8728 7.3680
angles (deg): 90.00 90.01 90.00
Closest atoms and distances in Å follow each position.
Fractional positions:
1 K 0.5000 0.5000 0.0000  8 Cl 3.13, 2 K 3.31
2 Al 0.0000 0.5000 0.5000  4 Cl 2.69
3 Cl 0.9997 0.0000 0.7533  2 Al 2.69
4 Cl 0.0003 0.0000 0.2467  2 Al 2.69

Calculated values
E (eV/atom): -3.365
Symmetry: No. 47
Offset from the most stable computed form (eV/atom): 0.067
Formation energy (no corrections) (eV per atom): -1.05
Crystal system: orthorhombic

---

The magnetization results, record by record, are as follows: 0.0, 0.0 μB per formula unit.